Entry 1:
Tm2AlGa2Ru5 | PBE | optimized geometry

## Properties
calculated volume = 164 Å³/f.u.
calculated formation energy = -392 meV/atom

Unit cell a=3.3804 b=9.8643 c=9.8643 alpha=90.00 beta=90.00 gamma=90.00
Closest atoms and distances in Å follow each position.
Positions (direct):
Ga  0.0000  0.6313  0.8687  6 Ru 2.49-2.52, 1 Tm 2.78
Ga  0.0000  0.1313  0.6313  6 Ru 2.49-2.52, 1 Tm 2.78
Ga  0.0000  0.8687  0.3687  6 Ru 2.49-2.52, 1 Tm 2.78
Ga  0.0000  0.3687  0.1313  6 Ru 2.49-2.52, 1 Tm 2.78
Ru  0.5000  0.0627  0.8073  2 Ga 2.52, 2 Al 2.62
Ru  0.5000  0.5627  0.6927  2 Ga 2.52, 2 Al 2.62
Ru  0.5000  0.5000  0.0000  4 Ga 2.49
Ru  0.5000  0.8073  0.9373  2 Ga 2.52, 2 Al 2.62
Ru  0.5000  0.9373  0.1927  2 Ga 2.52, 2 Al 2.62
Ru  0.5000  0.4373  0.3073  2 Ga 2.52, 2 Al 2.62
Ru  0.5000  0.6927  0.4373  2 Ga 2.52, 2 Al 2.62
Ru  0.5000  0.1927  0.0627  2 Ga 2.52, 2 Al 2.62
Ru  0.5000  0.3073  0.5627  2 Ga 2.52, 2 Al 2.62
Ru  0.5000  0.0000  0.5000  4 Ga 2.49
Tm  0.0000  0.3309  0.8309  3 Ga 2.78-2.99, 2 Ru 2.90
Tm  0.0000  0.1691  0.3309  3 Ga 2.78-2.99, 2 Ru 2.90
Tm  0.0000  0.8309  0.6691  3 Ga 2.78-2.99, 2 Ru 2.90
Tm  0.0000  0.6691  0.1691  3 Ga 2.78-2.99, 2 Ru 2.90
Al  0.0000  0.5000  0.5000  8 Ru 2.62
Al  0.0000  0.0000  0.0000  8 Ru 2.62


Entry 2:
AlV2GaRu | PBE | optimized geometry

## Properties
calculated volume = 95 Å³/f.u.
calculated formation energy = 1000 meV/atom

Unit cell a=4.5812 b=4.5229 c=4.5812 alpha=90.00 beta=90.00 gamma=90.00
Closest atoms and distances in Å follow each position.
Positions (direct):
V  0.0000  0.0000  0.5000  2 Ga 2.29
V  0.5000  0.0000  0.0000  2 Ga 2.29
Al  0.5000  0.5000  0.5000  8 V 3.22, 4 Ru 3.24
Ga  0.0000  0.0000  0.0000  2 Ru 2.26, 4 V 2.29
Ru  0.0000  0.5000  0.0000  2 Ga 2.26